# Tm3CoNi

A geometry-optimized Tm3CoNi structure (PBE, Alexandria via LeMat-Bulk).

As for the formation energy: -0.278 eV per atom. The calculation puts the energy above the most stable polymorph in this dataset at 0.00 eV per formula unit.

Cell: 3.928 6.022 8.947 Å, 90.02 90.00 90.00°
Fractional positions:
Tm 0.750 0.244 0.443
Tm 0.750 0.753 0.250
Tm 0.250 0.756 0.943
Tm 0.250 0.247 0.750
Tm 0.250 0.756 0.557
Tm 0.750 0.244 0.057
Ni 0.750 0.553 0.750
Ni 0.250 0.447 0.250
Co 0.250 0.056 0.250
Co 0.750 0.944 0.750

***

# Fe3TcS

A geometry-optimized Fe3TcS structure (PBE, Alexandria via LeMat-Bulk).

The calculation puts the energy above the most stable polymorph in this dataset at 0.00 eV per formula unit. Its uncorrected formation energy is 0.740 eV/atom.

Cell: 4.025 4.025 4.025 Å, 90.00 90.00 90.00°
Fractional positions:
Fe 0.000 0.000 0.500
Fe 0.000 0.500 0.000
Fe 0.500 0.000 0.000
Tc 0.500 0.500 0.500
S 0.000 0.000 0.000

***

# KBeCu2

A geometry-optimized KBeCu2 structure (PBE, Alexandria via LeMat-Bulk).

As for the formation energy: 0.558 eV per atom.

Cell: 5.711 5.711 5.711 Å, 152.33 121.49 65.92°
Fractional positions:
Be 0.250 0.750 0.500
Cu 0.431 0.431 0.000
Cu 0.069 0.069 0.000
K 0.750 0.250 0.500

***

# KTcTe3

A geometry-optimized KTcTe3 structure (PBE, Alexandria via LeMat-Bulk).

The calculation puts the energy above the most stable polymorph in this dataset at 9.62 eV per formula unit. Its uncorrected formation energy is 1.926 eV/atom.

Cell: 5.841 5.841 5.841 Å, 90.00 90.00 90.00°
Last column: magnetic moment on the atom in μB.
Fractional positions:
K 0.000 0.000 0.000  0.00
Te 0.000 0.000 0.500  -0.02
Te 0.000 0.500 0.000  -0.01
Te 0.500 0.000 0.000  0.03
Tc 0.500 0.500 0.500  -0.50

***

# TaCdP

A geometry-optimized TaCdP structure (PBE, Alexandria via LeMat-Bulk).

As for the formation energy: 0.111 eV per atom. The calculation puts the energy above the most stable polymorph in this dataset at 1.44 eV per formula unit.

Cell: 4.208 4.208 3.783 Å, 90.00 90.00 120.00°
Fractional positions:
P 0.667 0.333 0.500
Ta 0.333 0.667 0.500
Cd 0.000 0.000 0.000

***

# Rb2DyTe2O6

A geometry-optimized Rb2DyTe2O6 structure (PBE, Alexandria via LeMat-Bulk).

Its uncorrected formation energy is -1.650 eV/atom.

Cell: 6.545 5.934 7.343 Å, 106.73 90.00 123.47°
Fractional positions:
Te 0.919 0.838 0.740
Te 0.081 0.162 0.260
O 0.262 0.524 0.468
O 0.281 0.051 0.735
O 0.738 0.476 0.532
O 0.770 0.051 0.735
O 0.719 0.949 0.265
O 0.230 0.949 0.265
Rb 0.304 0.608 0.871
Rb 0.696 0.392 0.129
Dy 0.500 0.000 0.500

***

# K2SrBe

A geometry-optimized K2SrBe structure (PBE, Alexandria via LeMat-Bulk).

As for the formation energy: 0.639 eV per atom.

Cell: 11.277 11.277 8.593 Å, 48.99 48.99 90.00°
Fractional positions:
K 0.521 0.125 0.250
K 0.375 0.479 0.750
K 0.229 0.625 0.250
K 0.875 0.771 0.750
Sr 0.000 0.000 0.000
Sr 0.750 0.250 0.500
Be 0.500 0.500 0.000
Be 0.250 0.750 0.500

***

# TbEr6Tl

A geometry-optimized TbEr6Tl structure (PBE, Alexandria via LeMat-Bulk).

As for the formation energy: 0.102 eV per atom. The calculation puts the energy above the most stable polymorph in this dataset at 1.03 eV per formula unit.

Cell: 6.588 6.588 9.183 Å, 110.45 110.45 120.82°
Fractional positions:
Tb 0.500 0.500 0.500
Tl 0.000 0.000 0.000
Er 0.327 0.763 0.750
Er 0.237 0.673 0.250
Er 0.763 0.327 0.750
Er 0.673 0.237 0.250
Er 0.809 0.809 0.250
Er 0.191 0.191 0.750

***

# AcTl2Cd9

A geometry-optimized AcTl2Cd9 structure (PBE, Alexandria via LeMat-Bulk).

As for the formation energy: -0.090 eV per atom.

Cell: 6.119 6.119 10.252 Å, 72.64 72.64 60.00°
Fractional positions:
Ac 0.000 0.000 0.000
Cd 0.920 0.413 0.253
Cd 0.413 0.920 0.253
Cd 0.333 0.333 0.000
Cd 0.413 0.413 0.253
Cd 0.080 0.587 0.747
Cd 0.667 0.667 0.000
Cd 0.587 0.587 0.747
Cd 0.500 0.500 0.500
Cd 0.587 0.080 0.747
Tl 0.140 0.140 0.581
Tl 0.860 0.860 0.419

***

# CeGa6Fe6

A geometry-optimized CeGa6Fe6 structure (PBE, Alexandria via LeMat-Bulk).

As for the formation energy: -0.287 eV per atom.

Cell: 5.023 6.585 6.585 Å, 80.71 67.58 67.58°
Last column: magnetic moment on the atom in μB.
Fractional positions:
Fe 0.500 0.241 0.759  1.94
Fe 0.000 0.000 0.500  1.89
Fe 0.500 0.000 0.500  1.89
Fe 0.000 0.500 0.000  1.89
Fe 0.500 0.759 0.241  1.94
Fe 0.500 0.500 0.000  1.89
Ga 0.310 0.190 0.190  -0.08
Ga 0.653 0.347 0.347  -0.07
Ga 0.000 0.661 0.339  -0.07
Ga 0.690 0.810 0.810  -0.08
Ga 0.347 0.653 0.653  -0.07
Ga 0.000 0.339 0.661  -0.07
Ce 0.000 0.000 0.000  -0.58

***

# NaTb2Y

A geometry-optimized NaTb2Y structure (PBE, Alexandria via LeMat-Bulk).

As for the formation energy: 0.133 eV per atom. The calculation puts the energy above the most stable polymorph in this dataset at 0.00 eV per formula unit.

Cell: 3.525 3.525 10.668 Å, 90.00 90.00 90.00°
Fractional positions:
Y 0.500 0.500 0.000
Tb 0.000 0.000 0.768
Tb 0.000 0.000 0.232
Na 0.500 0.500 0.500

***

# CuOsBr2

A geometry-optimized CuOsBr2 structure (PBE, Alexandria via LeMat-Bulk).

The calculation puts the energy above the most stable polymorph in this dataset at 0.00 eV per formula unit. Its uncorrected formation energy is 0.421 eV/atom.

Cell: 3.247 3.703 7.931 Å, 76.28 90.00 90.00°
Fractional positions:
Br 0.500 0.142 0.348
Br 0.000 0.854 0.911
Os 0.500 0.978 0.669
Cu 0.000 0.526 0.573

***

# AlCu2Mo

A geometry-optimized AlCu2Mo structure (PBE, Alexandria via LeMat-Bulk).

As for the formation energy: 0.056 eV per atom.

Cell: 4.141 2.657 5.111 Å, 78.44 90.00 90.00°
Fractional positions:
Mo 0.500 0.250 0.250
Al 0.500 0.750 0.750
Cu 0.000 0.582 0.503
Cu 0.000 0.918 0.997

***

# Ac2TaSnN5

A geometry-optimized Ac2TaSnN5 structure (PBE, Alexandria via LeMat-Bulk).

Its uncorrected formation energy is -0.792 eV/atom.

Cell: 3.427 7.700 10.966 Å, 90.00 90.00 102.86°
Fractional positions:
Ac 0.111 0.222 0.688
Ac 0.133 0.266 0.297
Ac 0.889 0.778 0.188
Ac 0.867 0.734 0.797
Sn 0.451 0.902 0.458
Sn 0.549 0.098 0.958
N 0.504 0.007 0.286
N 0.349 0.698 0.000
N 0.311 0.621 0.385
N 0.651 0.302 0.500
N 0.717 0.435 0.134
N 0.496 0.993 0.786
N 0.689 0.379 0.885
N 0.946 0.891 0.563
N 0.283 0.565 0.634
N 0.054 0.109 0.063
Ta 0.777 0.554 0.514
Ta 0.223 0.446 0.014